Record 1
# Tb3In5

A crystal of Tb3In5 relaxed with PBEsol (SCAN, Alexandria via LeMat-Bulk).

Values from the calculation:
Its energy of formation is -637 meV/atom. The density of states at the Fermi level comes out at 0.49 states/eV per atom. As for the total energy: -39.039 eV per atom. The calculated density comes out at 8.80 g/cm3.

```
Tb3In5
1.0
-5.565 1.633 -2.480
3.408 -1.241 -5.161
-3.011 -9.725 0.350
In Tb
10 6
Cartesian
-4.239 -1.527 -4.773
-2.867 -4.151 -5.145
-2.301 -5.181 -2.147
-4.828 -6.556 -1.353
-2.900 -2.040 -7.522
-0.339 -2.776 -5.938
-2.267 -7.292 0.230
-0.929 -7.805 -2.518
-1.633 -0.166 -5.288
-3.535 -9.166 -2.003
-3.724 1.044 -3.030
-5.229 -3.819 -2.856
-1.574 -2.282 -2.823
1.567 -0.651 -4.611
-3.593 -7.050 -4.468
0.062 -5.513 -4.436
```

=====

Record 2
# Ba2AlHgW

A crystal of Ba2AlHgW relaxed with PBEsol (SCAN, Alexandria via LeMat-Bulk).

Values from the calculation:
Its energy of formation is 821 meV/atom. The density of states at the Fermi level comes out at 1.13 states/eV per atom. As for the total energy: -44.120 eV per atom. The calculated density comes out at 6.10 g/cm3.

```
Ba2AlHgW
1.0
-1.539 0.329 -4.548
0.267 -6.202 -0.539
-5.897 -0.425 1.965
W Ba Al Hg
1 2 1 1
Cartesian
-0.770 0.164 -2.274
0.134 -3.101 -0.269
-2.949 -0.213 0.983
0.000 0.000 0.000
-3.585 -3.149 -1.561
```

=====

Record 3
# LiTc3

A crystal of LiTc3 relaxed with PBEsol (SCAN, Alexandria via LeMat-Bulk).

Values from the calculation:
Its energy of formation is 152 meV/atom. The density of states at the Fermi level comes out at 0.93 states/eV per atom. As for the total energy: -26.740 eV per atom. The calculated density comes out at 9.43 g/cm3.

```
LiTc3
1.0
-0.985 3.980 -0.983
-4.035 1.222 -0.050
-1.449 2.610 2.977
Li Tc
1 3
Cartesian
0.000 0.000 0.000
-1.617 1.953 0.486
-4.852 5.859 1.458
-3.235 3.906 0.972
```

=====

Record 4
# TeMoPt2

A crystal of TeMoPt2 relaxed with PBEsol (SCAN, Alexandria via LeMat-Bulk).

Values from the calculation:
The density of states at the Fermi level comes out at 0.84 states/eV per atom. As for the total energy: -52.886 eV per atom. The raw formation energy is 0.24 eV/atom. The calculated density comes out at 15.36 g/cm3.

```
TeMoPt2
1.0
3.949 0.000 0.000
0.000 3.949 0.000
-1.975 -1.975 4.253
Pt Mo Te
2 1 1
Cartesian
1.975 0.000 2.126
0.000 1.975 2.126
0.000 0.000 0.000
1.975 1.975 0.000
```

=====

Record 5
# InFeSiRu2

A crystal of InFeSiRu2 relaxed with PBEsol (SCAN, Alexandria via LeMat-Bulk).

Values from the calculation:
The density of states at the Fermi level comes out at 0.54 states/eV per atom. As for the total energy: -25.881 eV per atom. The raw formation energy is 0.36 eV/atom. The calculated density comes out at 8.34 g/cm3.

```
InFeSiRu2
1.0
4.173 0.000 0.000
0.000 4.374 0.000
0.000 0.000 4.374
Ru Si In Fe
2 1 1 1
Cartesian
0.000 0.000 2.187
0.000 2.187 0.000
0.000 0.000 0.000
2.086 2.187 2.187
2.086 0.000 0.000
```

=====

Record 6
# LiSi2Pd2

A crystal of LiSi2Pd2 relaxed with PBEsol (SCAN, Alexandria via LeMat-Bulk).

Values from the calculation:
The density of states at the Fermi level comes out at 0.32 states/eV per atom. As for the total energy: -18.162 eV per atom. The raw formation energy is -0.57 eV/atom. The calculated density comes out at 5.78 g/cm3.

```
LiSi2Pd2
1.0
-1.832 -3.209 -1.523
0.408 -1.893 3.496
-3.670 4.348 0.497
Si Pd Li
2 2 1
Cartesian
-1.718 -2.138 1.327
-3.376 1.385 1.143
-1.987 -0.048 2.490
-3.107 -0.706 -0.020
0.000 0.000 0.000
```

=====

Record 7
# CuSb2SI

A crystal of CuSb2SI relaxed with PBEsol (SCAN, Alexandria via LeMat-Bulk).

Values from the calculation:
The density of states at the Fermi level comes out at 0.73 states/eV per atom. As for the total energy: -26.554 eV per atom. The raw formation energy is 0.66 eV/atom. The calculated density comes out at 6.08 g/cm3.

```
CuSb2SI
1.0
4.925 0.000 0.000
0.000 5.084 0.000
0.000 0.000 5.084
I Sb Cu S
1 2 1 1
Cartesian
2.463 0.000 0.000
0.000 2.542 0.000
0.000 0.000 2.542
0.000 0.000 0.000
2.463 2.542 2.542
```

=====

Record 8
# LiCu2Pt

A crystal of LiCu2Pt relaxed with PBEsol (SCAN, Alexandria via LeMat-Bulk).

Values from the calculation:
Its energy of formation is -302 meV/atom. The value obtained for the offset from the most stable computed form is 0 meV/atom. The density of states at the Fermi level comes out at 0.25 states/eV per atom. As for the total energy: -26.047 eV per atom. The calculated density comes out at 10.90 g/cm3.

```
LiCu2Pt
1.0
-2.185 -1.504 0.768
2.253 -1.549 3.373
-1.962 3.591 1.452
Cu Li Pt
2 1 1
Cartesian
-0.981 1.796 0.726
1.127 -0.774 1.687
-1.092 -0.752 0.384
-0.947 0.269 2.797
```

=====

Record 9
# CdIn

A crystal of CdIn relaxed with PBEsol (SCAN, Alexandria via LeMat-Bulk).

Values from the calculation:
Its energy of formation is 91 meV/atom. The density of states at the Fermi level comes out at 0.43 states/eV per atom. As for the total energy: -31.809 eV per atom. The calculated density comes out at 8.07 g/cm3.

```
CdIn
1.0
5.312 0.000 0.000
0.000 6.357 0.000
0.000 0.000 5.541
In Cd
4 4
Cartesian
1.328 3.969 5.014
3.984 2.388 0.527
1.328 5.566 2.243
3.984 0.791 3.298
1.328 2.367 2.332
3.984 5.546 0.438
1.328 0.812 5.103
3.984 3.990 3.209
```

=====

Record 10
# InIr2Cl

A crystal of InIr2Cl relaxed with PBEsol (SCAN, Alexandria via LeMat-Bulk).

Values from the calculation:
The value obtained for the offset from the most stable computed form is 415 meV/atom. The density of states at the Fermi level comes out at 0.66 states/eV per atom. As for the total energy: -44.997 eV per atom. The raw formation energy is 0.89 eV/atom. The calculated density comes out at 13.88 g/cm3.

```
InIr2Cl
1.0
-0.387 1.933 -2.198
-4.675 -0.518 0.368
0.930 3.553 2.961
In Cl Ir
1 1 2
Cartesian
-2.066 2.484 0.565
-0.194 0.966 -1.099
0.465 1.777 1.480
-2.337 -0.259 0.184
```

=====

Record 11
# CsMnBe2

A crystal of CsMnBe2 relaxed with PBEsol (SCAN, Alexandria via LeMat-Bulk).

Values from the calculation:
Its energy of formation is 1509 meV/atom. The density of states at the Fermi level comes out at 0.75 states/eV per atom. As for the total energy: -14.684 eV per atom. The calculated density comes out at 3.97 g/cm3.

```
CsMnBe2
1.0
-4.093 -1.065 2.582
-3.001 -3.644 -1.507
-0.270 -4.217 2.588
Be Cs Mn
2 1 1
Cartesian
-5.523 -6.695 2.748
-1.841 -2.232 0.916
-3.682 -4.463 1.832
0.000 0.000 0.000
```

=====

Record 12
# Tb4Si7

A crystal of Tb4Si7 relaxed with PBEsol (SCAN, Alexandria via LeMat-Bulk).

Values from the calculation:
The density of states at the Fermi level comes out at 0.37 states/eV per atom. As for the total energy: -23.986 eV per atom. The raw formation energy is -0.61 eV/atom. The calculated density comes out at 6.47 g/cm3.

```
Tb4Si7
1.0
-2.962 -0.510 -4.759
4.690 -0.462 -3.078
-0.244 -13.402 1.498
Si Tb
14 8
Cartesian
0.012 -13.124 0.325
2.367 -4.176 -2.110
2.871 -7.863 -3.660
-1.214 -4.199 -2.897
0.878 -11.747 -3.656
0.016 -10.772 0.237
1.468 -3.602 -6.577
-0.883 -10.198 -4.230
2.698 -10.175 -3.443
-1.386 -6.512 -2.679
-0.976 -7.887 -4.505
2.461 -6.487 -1.834
0.606 -2.627 -2.683
1.472 -1.251 -6.664
2.961 -2.286 -4.299
0.122 -5.121 -0.407
2.342 -12.064 -1.201
-1.476 -12.088 -2.040
0.493 -8.782 -1.988
0.991 -5.592 -4.351
-0.858 -2.310 -5.138
1.362 -9.254 -5.932
```

=====

Record 13
# RbWN2

A crystal of RbWN2 relaxed with PBEsol (SCAN, Alexandria via LeMat-Bulk).

Values from the calculation:
The value obtained for the offset from the most stable computed form is 0 meV/atom. The density of states at the Fermi level comes out at 0.40 states/eV per atom. As for the total energy: -27.792 eV per atom. The raw formation energy is -0.54 eV/atom. The calculated density comes out at 6.34 g/cm3.

```
RbWN2
1.0
-5.222 -1.234 2.574
4.886 -3.335 1.434
2.492 0.648 5.366
N W Rb
4 2 2
Cartesian
0.363 -3.259 5.176
-1.326 -1.388 6.964
0.943 -3.092 8.187
1.603 -0.688 6.361
0.000 0.000 0.000
0.396 -2.107 6.672
-1.365 -0.293 3.970
1.761 -1.814 2.702
```